Nd5Sm4Ho3 | PBE-GGA | optimized geometry

The structure belongs to space group C2/m (No. 12); the cell edges are 16.4095, 5.9895 and 9.4126 Å and the angles 90.00°, 116.54° and 90.00°. The inequivalent atoms are Nd at (0.0000, 0.0000, 0.0000), Nd at (0.0753, 0.5000, 0.7023), Nd at (0.1731, 0.5000, 0.3873), Sm at (0.0818, 0.0000, 0.4405), Sm at (0.2169, 0.0000, 0.8783), Ho at (0.0000, 0.5000, 0.0000) and Ho at (0.2085, 0.0000, 0.2275).

The formation enthalpy at 0 K is 0.212 eV/atom. The size of the total moment comes out at 0.0 μB/f.u. For the distance to the lowest polymorph of the same formula, the calculation gives 2.38 eV per formula unit.